A plane-wave DFT calculation with PBEsol was carried out for crystalline La2Te at its relaxed geometry.

- Symmetry: P4/mmm (123)
- ΔE_f (raw): -0.816 eV per atom

abc: 5.011 5.011 4.115
angles: 90.00 90.00 90.00
Positions (direct):
La  0.000  0.500  0.000
La  0.500  0.000  0.000
Te  0.000  0.000  0.500

***

A plane-wave DFT calculation with PBEsol was carried out for crystalline CoTcIr2 at its relaxed geometry.

- Symmetry: Cmmm (65)
- Formation energy from the elements: -16 kJ/mol of formula units
- Energy above the most stable polymorph in this dataset: 0.0588 eV/atom

abc: 4.566 4.566 2.660
angles: 90.00 90.00 109.02
Positions (direct):
Co  0.000  0.000  0.000
Tc  0.500  0.500  0.000
Ir  0.000  0.500  0.500
Ir  0.500  0.000  0.500

***

A plane-wave DFT calculation with PBEsol was carried out for crystalline YTcSCl2 at its relaxed geometry.

- Symmetry: P4/mmm (123)
- ΔE_f (raw): -0.470 eV per atom

abc: 4.664 4.664 4.568
angles: 90.00 90.00 90.00
Positions (direct):
Y  0.000  0.000  0.000
Tc  0.500  0.500  0.500
S  0.500  0.500  0.000
Cl  0.000  0.500  0.500
Cl  0.500  0.000  0.500

***

Calculated volume (computed, A^3/atom): 34.434 13.110 19.868